CeGa2Cl6: optimized geometry, PBE-GGA.

Values from the calculation:
space-group type: C2/c, No. 15
uncorrected formation energy: -1.398 eV per atom
calculated density: 2.4 Mg/m³
density of states at the Fermi level: 19.0 states/eV per cell

POSCAR file:
```
CeGa2Cl6
1.0
-1.475 -4.101 -6.609
3.970 -8.160 2.508
-7.836 -4.398 2.809
Cl Ga Ce
12 4 2
Direct
0.075 0.368 0.319
0.296 0.365 0.902
0.404 0.018 0.177
0.096 0.823 0.982
0.596 0.982 0.823
0.925 0.632 0.681
0.796 0.902 0.365
0.575 0.319 0.368
0.704 0.635 0.098
0.204 0.098 0.635
0.904 0.177 0.018
0.425 0.681 0.632
0.726 0.677 0.508
0.774 0.492 0.323
0.226 0.508 0.677
0.274 0.323 0.492
0.250 0.074 0.926
0.750 0.926 0.074
```